A relaxed structure of Mg2Zn3WN6, computed with PBE.

Cell and atoms, written as POSCAR:
```
Mg2Zn3WN6
1.0
2.664 -4.739 0.000
2.664 4.739 0.000
-1.506 0.000 4.955
Mg Zn W N
2 3 1 6
direct
0.169 0.831 0.000 Mg
0.831 0.169 0.000 Mg
0.000 0.000 0.500 Zn
0.328 0.672 0.500 Zn
0.672 0.328 0.500 Zn
0.500 0.500 0.000 W
0.116 0.430 0.759 N
0.253 0.253 0.227 N
0.430 0.116 0.759 N
0.570 0.884 0.241 N
0.747 0.747 0.773 N
0.884 0.570 0.241 N
```

- Fermi-level density of states (states/eV/cell) = 7.83
- final energy (eV per atom) = -5.86
- crystal system = monoclinic
- spin magnetization (μB per atom) = 0.00
- ΔE_f (raw) (kJ/mol of atoms) = -4

A relaxed structure of SrY2Ag3, computed with PBE.

Cell and atoms, written as POSCAR:
```
SrY2Ag3
1.0
3.707 0.000 0.000
0.000 3.707 0.000
0.000 0.000 11.360
Sr Y Ag
1 2 3
direct
0.000 0.000 0.000 Sr
0.000 0.000 0.339 Y
0.000 0.000 0.661 Y
0.500 0.500 0.195 Ag
0.500 0.500 0.500 Ag
0.500 0.500 0.805 Ag
```

- Fermi-level density of states (states/eV/cell) = 3.99
- final energy (eV per atom) = -4.16
- crystal system = tetragonal
- E_form (eV per formula unit) = -1.8
- spin magnetization (μB per atom) = 0.00

A relaxed structure of LaPmSb2Rh5, computed with PBE.

Cell and atoms, written as POSCAR:
```
LaPmSb2Rh5
1.0
4.495 0.000 0.000
0.000 4.495 0.000
0.000 0.000 9.072
La Pm Sb Rh
1 1 2 5
direct
0.000 0.000 0.000 La
0.000 0.000 0.500 Pm
0.500 0.500 0.342 Sb
0.500 0.500 0.658 Sb
0.000 0.500 0.217 Rh
0.000 0.500 0.783 Rh
0.500 0.000 0.217 Rh
0.500 0.000 0.783 Rh
0.500 0.500 0.000 Rh
```

- Fermi-level density of states (states/eV/cell) = 5.63
- final energy (eV per atom) = -6.63
- crystal system = tetragonal
- spin magnetization (μB per atom) = 0.00
- ΔE_f (raw) (kJ/mol of atoms) = -54

A relaxed structure of Cd2AgHg2, computed with PBE.

Cell and atoms, written as POSCAR:
```
Cd2AgHg2
1.0
7.566 0.000 0.000
0.000 7.566 0.000
0.000 0.000 4.176
Cd Ag Hg
4 2 4
direct
0.141 0.359 0.000 Cd
0.359 0.859 0.000 Cd
0.641 0.141 0.000 Cd
0.859 0.641 0.000 Cd
0.000 0.000 0.000 Ag
0.500 0.500 0.000 Ag
0.166 0.666 0.500 Hg
0.334 0.166 0.500 Hg
0.666 0.834 0.500 Hg
0.834 0.334 0.500 Hg
```

- Fermi-level density of states (states/eV/cell) = 3.70
- final energy (eV per atom) = -0.96
- crystal system = tetragonal
- E_form (eV per formula unit) = 0.5
- spin magnetization (μB per atom) = 0.00
- relative energy among the computed polymorphs (meV per atom) = 66.8

Number 1: V 10.43 Å³/atom. Number 2: V 26.02 Å³/atom. Number 3: V 20.36 Å³/atom. Number 4: V 23.91 Å³/atom.